1.
# MgCr2Ir

Crystalline MgCr2Ir at its relaxed geometry (PBE, the Alexandria database).

Geometry as extended XYZ:
```
8
Lattice="2.9580 0.0000 0.0000 0.0000 4.5364 0.0000 0.0000 0.0000 8.4017" Properties=species:S:1:pos:R:3 pbc="T T T"
Mg 0.0000 0.0000 0.0000
Mg 1.4790 2.2682 0.0000
Cr 0.0000 0.0000 4.0508
Cr 0.0000 2.2682 2.3656
Cr 1.4790 0.0000 2.3656
Cr 1.4790 2.2682 4.0508
Ir 0.0000 2.2682 6.1526
Ir 1.4790 0.0000 6.1526
```

The total energy is -0.26684 Ha/atom. The total magnetization comes out at 0.000 μB per cell.

---

2.
# MgCrIr2

Crystalline MgCrIr2 at its relaxed geometry (PBE, the Alexandria database).

Geometry as extended XYZ:
```
4
Lattice="2.7732 0.0000 0.0000 0.0000 3.9550 0.0000 0.0000 0.0000 5.3675" Properties=species:S:1:pos:R:3 pbc="T T T"
Mg 0.0000 0.0000 0.0000
Cr 1.3866 1.9775 1.5388
Ir 0.0000 0.0000 2.6374
Ir 1.3866 1.9775 4.1737
```

The total energy is -0.26753 Ha/atom. The total magnetization comes out at 2.392 μB per cell.

---

3.
# MgCr2Ir2

Crystalline MgCr2Ir2 at its relaxed geometry (PBE, the Alexandria database).

Geometry as extended XYZ:
```
10
Lattice="7.3731 0.0000 0.0000 0.0000 7.3731 0.0000 0.0000 0.0000 2.7175" Properties=species:S:1:pos:R:3 pbc="T T T"
Mg 0.0000 0.0000 0.0000
Mg 3.6865 3.6865 0.0000
Cr 1.2117 2.4749 1.3588
Cr 2.4749 6.1614 1.3588
Cr 4.8982 1.2117 1.3588
Cr 6.1614 4.8982 1.3588
Ir 0.9566 4.6432 0.0000
Ir 2.7299 0.9566 0.0000
Ir 4.6432 6.4165 0.0000
Ir 6.4165 2.7299 0.0000
```

The total magnetization comes out at 2.573 μB per cell. The energy above the lowest structure with this stoichiometry comes out at 41 meV per atom.

---

4.
# MgCr2Ir

Crystalline MgCr2Ir at its relaxed geometry (PBE, the Alexandria database).

Geometry as extended XYZ:
```
8
Lattice="2.9604 0.0000 0.0000 0.0000 4.1327 0.0000 0.0000 0.0000 8.7810" Properties=species:S:1:pos:R:3 pbc="T T T"
Mg 0.0000 0.0000 0.0000
Mg 1.4802 2.0664 4.3905
Cr 0.0000 2.0664 2.1357
Cr 0.0000 2.0664 6.6452
Cr 1.4802 0.0000 2.2547
Cr 1.4802 0.0000 6.5262
Ir 0.0000 0.0000 4.3905
Ir 1.4802 2.0664 0.0000
```

The total energy is -0.26985 Ha/atom. The total magnetization comes out at 0.000 μB per cell.

---

5.
# MgCrIr2

Crystalline MgCrIr2 at its relaxed geometry (PBE, the Alexandria database).

Geometry as extended XYZ:
```
16
Lattice="6.2263 0.0000 0.0000 0.0000 6.2263 0.0000 0.0000 0.0000 6.2263" Properties=species:S:1:pos:R:3 pbc="T T T"
Mg 0.0000 0.0000 0.0000
Mg 0.0000 3.1132 3.1132
Mg 3.1132 0.0000 3.1132
Mg 3.1132 3.1132 0.0000
Cr 1.5566 1.5566 1.5566
Cr 1.5566 4.6698 4.6698
Cr 4.6698 1.5566 4.6698
Cr 4.6698 4.6698 1.5566
Ir 0.0000 0.0000 3.1132
Ir 0.0000 3.1132 0.0000
Ir 1.5566 1.5566 4.6698
Ir 1.5566 4.6698 1.5566
Ir 3.1132 0.0000 0.0000
Ir 3.1132 3.1132 3.1132
Ir 4.6698 1.5566 1.5566
Ir 4.6698 4.6698 4.6698
```

The total energy is -0.26017 Ha/atom. The total magnetization comes out at 9.312 μB per cell.

---

6.
# Mg2CrIr

Crystalline Mg2CrIr at its relaxed geometry (PBE, the Alexandria database).

Geometry as extended XYZ:
```
4
Lattice="2.8583 0.0000 0.0000 0.0000 4.4947 0.0000 -0.6834 0.0000 5.0396" Properties=species:S:1:pos:R:3 pbc="T T T"
Mg 0.5140 0.0000 1.3017
Mg 1.6610 0.0000 3.7379
Cr 1.4292 2.2474 0.0000
Ir -0.3417 2.2474 2.5198
```

The total magnetization comes out at 3.153 μB per cell. The energy above the lowest structure with this stoichiometry comes out at 156 meV per atom.

---

7.
# Mg2CrIr

Crystalline Mg2CrIr at its relaxed geometry (PBE, the Alexandria database).

Geometry as extended XYZ:
```
16
Lattice="7.2213 0.0000 0.0000 0.0000 7.2213 0.0000 0.0000 0.0000 5.1664" Properties=species:S:1:pos:R:3 pbc="T T T"
Mg 1.7312 1.8053 0.6458
Mg 1.8053 5.3419 1.9374
Mg 1.8053 5.4901 4.5206
Mg 1.8794 1.8053 3.2290
Mg 5.3419 5.4160 3.2290
Mg 5.4160 1.7312 4.5206
Mg 5.4160 1.8794 1.9374
Mg 5.4901 5.4160 0.6458
Cr 0.0000 0.0000 2.5832
Cr 0.0000 3.6107 3.8748
Cr 3.6107 0.0000 1.2916
Cr 3.6107 3.6107 0.0000
Ir 0.0000 0.0000 0.0000
Ir 0.0000 3.6107 1.2916
Ir 3.6107 0.0000 3.8748
Ir 3.6107 3.6107 2.5832
```

The total magnetization comes out at 0.104 μB per cell. The energy above the lowest structure with this stoichiometry comes out at 733 meV per atom.

---

8.
# MgCr2Ir

Crystalline MgCr2Ir at its relaxed geometry (PBE, the Alexandria database).

Geometry as extended XYZ:
```
16
Lattice="7.1668 0.0000 0.0000 0.0000 7.1668 0.0000 0.0000 0.0000 5.1850" Properties=species:S:1:pos:R:3 pbc="T T T"
Mg 0.0000 0.0000 0.0000
Mg 0.0000 3.5834 1.2962
Mg 3.5834 0.0000 3.8887
Mg 3.5834 3.5834 2.5925
Cr 1.4258 5.3751 3.2406
Cr 1.7917 1.4258 1.9444
Cr 1.7917 2.1576 4.5369
Cr 2.1576 5.3751 0.6481
Cr 5.0092 1.7917 0.6481
Cr 5.3751 5.0092 4.5369
Cr 5.3751 5.7410 1.9444
Cr 5.7410 1.7917 3.2406
Ir 0.0000 0.0000 2.5925
Ir 0.0000 3.5834 3.8887
Ir 3.5834 0.0000 1.2962
Ir 3.5834 3.5834 0.0000
```

The total energy is -0.25021 Ha/atom. The total magnetization comes out at 15.053 μB per cell.

---

9.
# Mg2CrIr

Crystalline Mg2CrIr at its relaxed geometry (PBE, the Alexandria database).

Geometry as extended XYZ:
```
12
Lattice="2.8448 0.0000 0.0000 -1.4224 2.4637 0.0000 0.0000 0.0000 27.9006" Properties=species:S:1:pos:R:3 pbc="T T T"
Mg 0.0000 0.0000 0.0000
Mg 0.0000 0.0000 6.4761
Mg 0.0000 1.6424 18.6004
Mg 0.0000 1.6424 25.0766
Mg 1.4224 0.8212 9.3002
Mg 1.4224 0.8212 15.7763
Cr 0.0000 0.0000 20.8870
Cr 0.0000 1.6424 11.5868
Cr 1.4224 0.8212 2.2866
Ir 0.0000 0.0000 13.5016
Ir 0.0000 1.6424 4.2014
Ir 1.4224 0.8212 22.8018
```

The total magnetization comes out at 0.006 μB per cell. The energy above the lowest structure with this stoichiometry comes out at 177 meV per atom.

---

10.
# MgCr2Ir

Crystalline MgCr2Ir at its relaxed geometry (PBE, the Alexandria database).

Geometry as extended XYZ:
```
4
Lattice="2.7637 0.0000 0.0000 0.0000 3.9668 0.0000 -1.3308 0.0000 5.1744" Properties=species:S:1:pos:R:3 pbc="T T T"
Mg 0.0000 0.0000 0.0000
Cr 1.2336 1.9834 1.4234
Cr 1.8621 0.0000 2.5342
Ir 0.1562 1.9834 3.8259
```

The total energy is -0.26794 Ha/atom. The total magnetization comes out at 0.108 μB per cell.

---

11.
# MgCrIr2

Crystalline MgCrIr2 at its relaxed geometry (PBE, the Alexandria database).

Geometry as extended XYZ:
```
4
Lattice="4.3645 0.0000 0.0000 0.0000 4.3645 0.0000 0.0000 0.0000 3.0035" Properties=species:S:1:pos:R:3 pbc="T T T"
Mg 0.0000 0.0000 0.0000
Cr 2.1823 2.1823 0.0000
Ir 0.0000 2.1823 1.5017
Ir 2.1823 0.0000 1.5017
```

The total energy is -0.27275 Ha/atom. The total magnetization comes out at 2.324 μB per cell.

---

12.
# MgCrIr2

Crystalline MgCrIr2 at its relaxed geometry (PBE, the Alexandria database).

Geometry as extended XYZ:
```
8
Lattice="2.9209 0.0000 0.0000 0.0000 4.6690 0.0000 0.0000 0.0000 8.6945" Properties=species:S:1:pos:R:3 pbc="T T T"
Mg 0.0000 0.0000 0.0000
Mg 1.4605 2.3345 0.0000
Cr 0.0000 0.0000 4.3473
Cr 1.4605 2.3345 4.3473
Ir 0.0000 2.3345 2.2735
Ir 0.0000 2.3345 6.4211
Ir 1.4605 0.0000 2.2735
Ir 1.4605 0.0000 6.4211
```

The total energy is -0.26466 Ha/atom. The total magnetization comes out at 4.945 μB per cell.